Below is an optimized crystal structure of GeMoClO2, with properties calculated at the GGA+U level.

Calculated values
- Spin magnetization: 4.53 μB per formula unit
- Electronic total energy: -5.0304 eV per atom
- SG: P4/mmm, No. 123

```
data_GeMoClO2
_chemical_formula_sum 'Ge1 Mo1 Cl1 O2'
_cell_length_a 3.736
_cell_length_b 6.111
_cell_length_c 3.736
_cell_angle_alpha 90.00
_cell_angle_beta 90.00
_cell_angle_gamma 90.00
_symmetry_space_group_name_H-M 'P 1'
_symmetry_Int_Tables_number 1
loop_
_symmetry_equiv_pos_as_xyz
'x,y,z'
loop_
_atom_site_label
_atom_site_type_symbol
_atom_site_fract_x
_atom_site_fract_y
_atom_site_fract_z
O1 O 0.500 0.000 0.000
O2 O 0.000 0.000 0.500
Ge1 Ge 0.000 0.000 0.000
Mo1 Mo 0.000 0.500 0.000
Cl1 Cl 0.500 0.500 0.500
```